No. 1
{"formula": "Mo2CO", "functional": "PBEsol", "state": "relaxed", "vol_a3_per_cell": 39.5, "total_magnetization_mub_per_cell": 0.0, "formation_energy_uncorrected_ev_per_fu": 0.03, "n_ef_per_ev_fu": 4.3, "relative_energy_ev_per_fu": 0.37, "lattice_angstrom": [[-3.083, 1.930, 1.173], [-1.799, -1.040, 3.207], [0.201, 2.215, 3.108]], "species": ["Mo", "Mo", "C", "O"], "fractional_positions": [[0.250, 0.250, 0.250], [0.750, 0.750, 0.750], [0.000, 0.000, 0.000], [0.500, 0.500, 0.500]]}



No. 2
{"formula": "ReRu2Cl", "functional": "PBEsol", "state": "relaxed", "vol_a3_per_cell": 53.9, "total_magnetization_mub_per_cell": 0.0, "formation_energy_uncorrected_ev_per_fu": 2.94, "n_ef_per_ev_fu": 3.9, "relative_energy_ev_per_fu": 0.49, "lattice_angstrom": [[2.821, 0.000, 0.000], [0.000, 4.410, 0.000], [-1.410, -2.205, 4.336]], "species": ["Re", "Cl", "Ru", "Ru"], "fractional_positions": [[0.000, 0.500, 0.000], [0.500, 0.000, 0.000], [0.770, 0.770, 0.539], [0.230, 0.230, 0.461]]}



No. 3
{"formula": "LiNi2Sb", "functional": "PBEsol", "state": "relaxed", "vol_a3_per_cell": 51.6, "total_magnetization_mub_per_cell": 0.0, "formation_energy_uncorrected_ev_per_fu": -0.96, "n_ef_per_ev_fu": 2.9, "lattice_angstrom": [[3.601, 0.000, 0.000], [0.000, 3.784, 0.000], [0.000, 0.000, 3.784]], "species": ["Sb", "Ni", "Ni", "Li"], "fractional_positions": [[0.500, 0.500, 0.500], [0.000, 0.000, 0.500], [0.000, 0.500, 0.000], [0.500, 0.000, 0.000]]}



No. 4
{"formula": "LiZrIr2", "functional": "PBEsol", "state": "relaxed", "vol_a3_per_cell": 59.5, "total_magnetization_mub_per_cell": 0.0, "delta_e_f_mev_per_atom": -521, "n_ef_per_ev_fu": 2.3, "relative_energy_ev_per_fu": 0.11, "lattice_angstrom": [[-2.435, 2.683, -0.278], [-1.635, -1.818, -3.225], [-2.520, -2.036, 2.426]], "species": ["Ir", "Ir", "Zr", "Li"], "fractional_positions": [[0.000, 0.000, 0.500], [0.000, 0.500, 0.000], [0.500, 0.000, 0.000], [0.500, 0.500, 0.500]]}



No. 5
{"formula": "Tl2TeAs", "functional": "PBEsol", "state": "relaxed", "vol_a3_per_cell": 109.1, "total_magnetization_mub_per_cell": 0.0, "formation_energy_uncorrected_ev_per_fu": 0.14, "n_ef_per_ev_fu": 2.4, "lattice_angstrom": [[-3.132, -1.482, 1.154], [2.302, -0.904, 5.087], [-1.246, 5.946, -1.524]], "species": ["Tl", "Tl", "Te", "As"], "fractional_positions": [[0.997, 0.997, 0.994], [0.776, 0.276, 0.551], [0.210, 0.710, 0.421], [0.517, 0.517, 0.034]]}



No. 6
{"formula": "YHfAgHg2", "functional": "PBEsol", "state": "relaxed", "vol_a3_per_cell": 138.0, "total_magnetization_mub_per_cell": 0.0, "delta_e_f_mev_per_atom": 521, "n_ef_per_ev_fu": 5.6, "lattice_angstrom": [[-2.434, 2.065, 3.852], [0.294, -4.542, 2.621], [4.579, 1.501, 2.089]], "species": ["Y", "Hf", "Hg", "Hg", "Ag"], "fractional_positions": [[0.500, 0.500, 0.500], [0.000, 0.000, 0.000], [0.000, 0.000, 0.500], [0.000, 0.500, 0.000], [0.500, 0.000, 0.000]]}



No. 7
{"formula": "TaHg2As", "functional": "PBEsol", "state": "relaxed", "vol_a3_per_cell": 77.4, "total_magnetization_mub_per_cell": 0.0, "delta_e_f_mev_per_atom": 236, "n_ef_per_ev_fu": 1.2, "lattice_angstrom": [[-1.493, 0.292, -2.469], [-4.079, -1.361, 2.306], [-0.879, 5.190, 1.508]], "species": ["As", "Hg", "Hg", "Ta"], "fractional_positions": [[0.430, 0.500, 0.721], [0.914, 0.000, 0.995], [0.810, 0.500, 0.270], [0.346, 0.000, 0.514]]}



No. 8
{"formula": "AlBiSeCl4", "functional": "PBEsol", "state": "relaxed", "vol_a3_per_cell": 799.6, "total_magnetization_mub_per_cell": 0.0, "formation_energy_uncorrected_ev_per_fu": -7.96, "n_ef_per_ev_fu": 0.0, "lattice_angstrom": [[10.133, 0.080, 0.000], [-3.923, 9.343, 0.000], [-3.105, -4.712, 8.417]], "species": ["Al", "Al", "Al", "Al", "Bi", "Bi", "Bi", "Bi", "Se", "Se", "Se", "Se", "Cl", "Cl", "Cl", "Cl", "Cl", "Cl", "Cl", "Cl", "Cl", "Cl", "Cl", "Cl", "Cl", "Cl", "Cl", "Cl"], "fractional_positions": [[0.281, 0.010, 0.878], [0.597, 0.719, 0.730], [0.133, 0.403, 0.122], [0.990, 0.867, 0.270], [0.472, 0.194, 0.403], [0.791, 0.069, 0.597], [0.931, 0.528, 0.722], [0.806, 0.209, 0.278], [0.676, 0.268, 0.706], [0.732, 0.438, 0.409], [0.562, 0.971, 0.294], [0.029, 0.324, 0.591], [0.231, 0.922, 0.418], [0.504, 0.813, 0.582], [0.909, 0.170, 0.950], [0.543, 0.162, 0.985], [0.345, 0.392, 0.215], [0.221, 0.959, 0.050], [0.041, 0.091, 0.262], [0.187, 0.769, 0.691], [0.608, 0.823, 0.953], [0.443, 0.457, 0.619], [0.177, 0.130, 0.785], [0.830, 0.779, 0.738], [0.176, 0.557, 0.015], [0.078, 0.496, 0.309], [0.870, 0.655, 0.047], [0.838, 0.824, 0.381]]}



No. 9
{"formula": "LiTl2Ag", "functional": "PBEsol", "state": "relaxed", "vol_a3_per_cell": 85.0, "total_magnetization_mub_per_cell": 0.0, "delta_e_f_mev_per_atom": -66, "n_ef_per_ev_fu": 1.6, "relative_energy_ev_per_fu": 0.11, "lattice_angstrom": [[-3.295, 0.325, -0.851], [0.601, -1.987, -3.084], [-1.418, -5.620, 3.345]], "species": ["Tl", "Tl", "Ag", "Li"], "fractional_positions": [[0.000, 0.000, 0.966], [0.500, 0.500, 0.282], [0.000, 0.000, 0.529], [0.500, 0.500, 0.722]]}



No. 10
{"formula": "Sn3WCl", "functional": "PBEsol", "state": "relaxed", "vol_a3_per_cell": 140.0, "total_magnetization_mub_per_cell": 0.0, "formation_energy_uncorrected_ev_per_fu": 0.80, "n_ef_per_ev_fu": 2.2, "lattice_angstrom": [[5.193, 0.000, 0.000], [0.000, 5.193, 0.000], [0.000, 0.000, 5.193]], "species": ["Sn", "Sn", "Sn", "W", "Cl"], "fractional_positions": [[0.000, 0.500, 0.000], [0.000, 0.000, 0.500], [0.500, 0.000, 0.000], [0.000, 0.000, 0.000], [0.500, 0.500, 0.500]]}



No. 11
{"formula": "TlCdIn", "functional": "PBEsol", "state": "relaxed", "vol_a3_per_cell": 74.6, "total_magnetization_mub_per_cell": 0.0, "delta_e_f_mev_per_atom": 39, "n_ef_per_ev_fu": 1.2, "lattice_angstrom": [[-3.223, -0.504, -0.454], [-0.443, -0.107, 3.262], [0.760, 7.099, -1.327]], "species": ["Tl", "In", "Cd"], "fractional_positions": [[0.337, 0.337, 0.674], [0.659, 0.659, 0.318], [0.004, 0.004, 0.008]]}



No. 12
{"formula": "BaCa2Au2", "functional": "PBEsol", "state": "relaxed", "vol_a3_per_cell": 286.6, "total_magnetization_mub_per_cell": 0.0, "delta_e_f_mev_per_atom": -563, "n_ef_per_ev_fu": 4.1, "relative_energy_ev_per_fu": 0.05, "lattice_angstrom": [[4.180, 0.000, 0.000], [0.000, 8.280, 0.000], [0.000, 0.000, 8.280]], "species": ["Ca", "Ca", "Ca", "Ca", "Au", "Au", "Au", "Au", "Ba", "Ba"], "fractional_positions": [[0.500, 0.154, 0.654], [0.500, 0.654, 0.846], [0.500, 0.846, 0.346], [0.500, 0.346, 0.154], [0.000, 0.373, 0.873], [0.000, 0.873, 0.627], [0.000, 0.627, 0.127], [0.000, 0.127, 0.373], [0.000, 0.000, 0.000], [0.000, 0.500, 0.500]]}